Entry a
# KMoN2F

A relaxed KMoN2F crystal (PBE with a Hubbard U, the Alexandria database).

a b c (Å): 4.933 4.933 4.539
angles (deg): 90.00 90.00 90.00
Fractional positions:
1 K 0.000 0.000 0.000
2 Mo 0.500 0.500 0.500
3 N 0.000 0.500 0.000
4 N 0.500 0.000 0.000
5 F 0.000 0.000 0.500

Space group: P4/mmm, No. 123
DOS(E_F) in states/eV/f.u.: 1.29

---

Entry b
# KMoN2F

A relaxed KMoN2F crystal (PBE with a Hubbard U, the Alexandria database).

a b c (Å): 3.995 3.995 4.422
angles (deg): 90.00 90.00 90.00
Fractional positions:
1 K 0.000 0.000 0.000
2 Mo 0.500 0.500 0.500
3 N 0.000 0.500 0.500
4 N 0.500 0.000 0.500
5 F 0.500 0.500 0.000

Space group: P4/mmm, No. 123
DOS(E_F) in states/eV/f.u.: 1.28

---

Preferred: entry b; penalty for the next structure: 2.076 eV/atom.

---

Entry a
# KNa2MoF6

A relaxed KNa2MoF6 crystal (PBE with a Hubbard U, the Alexandria database).

a b c (Å): 6.433 6.433 6.433
angles (deg): 60.00 60.00 60.00
Fractional positions:
1 K 0.000 0.000 0.000
2 Na 0.250 0.250 0.250
3 Na 0.750 0.750 0.750
4 Mo 0.500 0.500 0.500
5 F 0.271 0.271 0.729
6 F 0.271 0.729 0.271
7 F 0.271 0.729 0.729
8 F 0.729 0.271 0.271
9 F 0.729 0.271 0.729
10 F 0.729 0.729 0.271

Space group: Fm-3m, No. 225
DOS(E_F) in states/eV/f.u.: 0.00

---

Entry b
# KNa2MoF6

A relaxed KNa2MoF6 crystal (PBE with a Hubbard U, the Alexandria database).

a b c (Å): 6.016 6.199 10.430
angles (deg): 90.00 124.33 90.00
Fractional positions:
1 K 0.000 0.000 0.000
2 K 0.000 0.500 0.500
3 Na 0.227 0.026 0.717
4 Na 0.227 0.474 0.217
5 Na 0.773 0.526 0.783
6 Na 0.773 0.974 0.283
7 Mo 0.500 0.000 0.500
8 Mo 0.500 0.500 0.000
9 F 0.161 0.141 0.473
10 F 0.161 0.359 0.973
11 F 0.246 0.732 0.383
12 F 0.246 0.768 0.883
13 F 0.422 0.134 0.291
14 F 0.422 0.366 0.791
15 F 0.578 0.634 0.209
16 F 0.578 0.866 0.709
17 F 0.754 0.232 0.117
18 F 0.754 0.268 0.617
19 F 0.839 0.641 0.027
20 F 0.839 0.859 0.527

Space group: P2_1/c, No. 14
DOS(E_F) in states/eV/f.u.: 0.00

---

Preferred: entry b; penalty for the next structure: 0.190 eV/atom.

---

Entry a
# K2NaMoF6

A relaxed K2NaMoF6 crystal (PBE with a Hubbard U, the Alexandria database).

a b c (Å): 6.104 6.153 10.593
angles (deg): 90.00 125.07 90.00
Fractional positions:
1 K 0.244 0.033 0.250
2 K 0.244 0.467 0.750
3 K 0.756 0.533 0.250
4 K 0.756 0.967 0.750
5 Na 0.000 0.000 0.500
6 Na 0.000 0.500 0.000
7 Mo 0.500 0.000 0.000
8 Mo 0.500 0.500 0.500
9 F 0.192 0.201 0.967
10 F 0.192 0.299 0.467
11 F 0.266 0.725 0.965
12 F 0.266 0.775 0.465
13 F 0.327 0.018 0.762
14 F 0.327 0.482 0.262
15 F 0.673 0.518 0.738
16 F 0.673 0.982 0.238
17 F 0.734 0.225 0.535
18 F 0.734 0.275 0.035
19 F 0.808 0.701 0.533
20 F 0.808 0.799 0.033

Space group: P2_1/c, No. 14
DOS(E_F) in states/eV/f.u.: 0.00

---

Entry b
# K2NaMoF6

A relaxed K2NaMoF6 crystal (PBE with a Hubbard U, the Alexandria database).

a b c (Å): 6.148 6.148 6.148
angles (deg): 60.00 60.00 60.00
Fractional positions:
1 K 0.250 0.250 0.250
2 K 0.750 0.750 0.750
3 Na 0.000 0.000 0.000
4 Mo 0.500 0.500 0.500
5 F 0.259 0.259 0.741
6 F 0.259 0.741 0.259
7 F 0.259 0.741 0.741
8 F 0.741 0.259 0.259
9 F 0.741 0.259 0.741
10 F 0.741 0.741 0.259

Space group: Fm-3m, No. 225
DOS(E_F) in states/eV/f.u.: 0.00

---

Preferred: entry a; penalty for the next structure: 0.011 eV/atom.

---

Entry a
# KRb2MoF6

A relaxed KRb2MoF6 crystal (PBE with a Hubbard U, the Alexandria database).

a b c (Å): 6.554 6.554 6.554
angles (deg): 60.00 60.00 60.00
Fractional positions:
1 K 0.000 0.000 0.000
2 Rb 0.250 0.250 0.250
3 Rb 0.750 0.750 0.750
4 Mo 0.500 0.500 0.500
5 F 0.274 0.274 0.726
6 F 0.274 0.726 0.274
7 F 0.274 0.726 0.726
8 F 0.726 0.274 0.274
9 F 0.726 0.274 0.726
10 F 0.726 0.726 0.274

Space group: Fm-3m, No. 225
DOS(E_F) in states/eV/f.u.: 0.00

---

Entry b
# KRb2MoF6

A relaxed KRb2MoF6 crystal (PBE with a Hubbard U, the Alexandria database).

a b c (Å): 12.954 12.954 12.954
angles (deg): 28.46 28.46 28.46
Fractional positions:
1 K 0.090 0.090 0.090
2 K 0.910 0.910 0.910
3 Rb 0.195 0.195 0.195
4 Rb 0.357 0.357 0.357
5 Rb 0.643 0.643 0.643
6 Rb 0.805 0.805 0.805
7 Mo 0.000 0.000 0.000
8 Mo 0.500 0.500 0.500
9 F 0.121 0.121 0.659
10 F 0.121 0.659 0.121
11 F 0.214 0.691 0.691
12 F 0.309 0.309 0.786
13 F 0.309 0.786 0.309
14 F 0.341 0.879 0.879
15 F 0.659 0.121 0.121
16 F 0.691 0.214 0.691
17 F 0.691 0.691 0.214
18 F 0.786 0.309 0.309
19 F 0.879 0.341 0.879
20 F 0.879 0.879 0.341

Space group: R-3m, No. 166
DOS(E_F) in states/eV/f.u.: 0.00

---

Preferred: entry a; penalty for the next structure: 0.030 eV/atom.